--- P ---
Here is Sm5SeS4 after structural relaxation from Alexandria via LeMat-Bulk. Energies are from PBE-GGA.

Summary:
crystal system = tetragonal
total magnetization = 0.00 μB per cell

Structure (extended XYZ):
```
10
Lattice="-0.912 -2.736 -2.830 1.157 -2.963 2.492 -13.453 1.972 5.312" Properties=species:S:1:pos:R:3 pbc="T T T"
S -5.382 -0.354 2.076
S -2.540 -3.025 0.858
S -7.826 -3.373 2.897
S -10.668 -0.702 4.116
Sm -2.757 -0.182 1.064
Sm -10.450 -3.546 3.910
Sm -5.175 -3.199 1.874
Sm 0.122 -2.850 -0.169
Sm -8.033 -0.529 3.099
Se 0.000 0.000 0.000
```

--- Q ---
Here is Sm5SeS4 after structural relaxation from Alexandria via LeMat-Bulk. Energies are from PBE-GGA.

Summary:
crystal system = monoclinic
total magnetization = 0.00 μB per cell

Structure (extended XYZ):
```
10
Lattice="3.935 0.000 0.899 1.660 6.576 1.796 0.009 0.007 9.024" Properties=species:S:1:pos:R:3 pbc="T T T"
S 2.692 1.334 6.343
S 1.450 2.580 2.717
S 2.913 5.249 5.375
S 4.155 4.002 9.001
Sm 2.304 5.908 8.042
Sm 2.085 2.106 9.000
Sm 3.519 4.477 2.719
Sm 0.834 3.291 5.410
Sm 3.301 0.675 3.677
Se 0.000 0.000 0.000
```

Q is the most stable structure; the next one sits 12 meV/atom above it.

--- P ---
Here is Sm3SeS3 after structural relaxation from Alexandria via LeMat-Bulk. Energies are from PBE-GGA.

Summary:
crystal system = tetragonal
total magnetization = 0.00 μB per cell

Structure (extended XYZ):
```
28
Lattice="5.631 0.000 0.000 0.000 11.563 0.000 0.000 0.000 11.563" Properties=species:S:1:pos:R:3 pbc="T T T"
Sm 0.000 7.195 10.076
Sm 2.816 10.149 4.295
Sm 0.000 1.440 10.123
Sm 2.816 7.267 1.413
Sm 0.000 1.485 4.368
Sm 2.816 7.221 7.221
Sm 0.000 4.367 1.486
Sm 2.816 1.414 7.268
Sm 0.000 10.077 7.195
Sm 2.816 4.341 4.342
Sm 2.816 4.296 10.149
Sm 0.000 10.122 1.439
S 0.000 10.195 4.315
S 0.000 4.316 10.196
S 0.000 7.318 7.317
S 0.000 4.245 4.246
S 2.816 10.026 1.536
S 2.816 10.097 7.148
S 2.816 4.414 1.466
S 0.000 7.247 1.366
S 2.816 1.537 10.027
S 2.816 1.466 4.415
S 2.816 7.149 10.096
S 0.000 1.367 7.248
Se 0.000 10.108 10.107
Se 0.000 1.455 1.456
Se 2.816 7.236 4.326
Se 2.816 4.327 7.237
```

--- Q ---
Here is Sm3SeS3 after structural relaxation from Alexandria via LeMat-Bulk. Energies are from PBE-GGA.

Summary:
crystal system = trigonal
total magnetization = 0.00 μB per cell

Structure (extended XYZ):
```
7
Lattice="5.805 -0.022 -0.030 -1.348 5.647 -0.030 -1.348 -1.700 5.385" Properties=species:S:1:pos:R:3 pbc="T T T"
S -0.703 2.277 3.090
S 2.378 -0.164 3.090
S 2.378 3.000 0.758
Sm 3.678 4.641 2.674
Sm 3.678 1.180 5.224
Sm 0.308 3.850 5.224
Se 0.101 0.128 0.173
```

P is the most stable structure; the next one sits 258 meV/atom above it.